(1)
TlHO, optimized geometry, DFT GGA-PBE; relative energy among the computed polymorphs = 0 meV/atom; symmetry = No. 4; N(E_F) = 0.00 states/eV per atom
1.0
3.837 0.000 -0.001
0.000 4.954 0.000
-0.747 0.000 5.922
Tl H O
2 2 2
Direct
0.205 0.606 0.282 Tl
0.795 0.106 0.718 Tl
0.403 0.123 0.043 H
0.597 0.623 0.957 H
0.693 0.791 0.030 O
0.307 0.291 0.970 O


(2)
ZrPa2C3, optimized geometry, DFT GGA-PBE; symmetry = No. 139; N(E_F) = 0.53 states/eV per atom; energy of formation from the pure elements = -0.522 eV/atom
1.0
-0.950 -3.054 1.497
0.737 -1.703 -3.005
7.136 1.338 3.075
Zr Pa C
1 2 3
Direct
0.434 0.436 0.874 Zr
0.098 0.099 0.201 Pa
0.771 0.772 0.547 Pa
0.934 0.936 0.874 C
0.272 0.273 0.549 C
0.597 0.598 0.198 C


Question: Look up the N(E_F) of the first one.
Answer: 0.00 states/eV per atom


Question: Which value of N(E_F) does entry 1 give?
Answer: 0.00 states/eV per atom


Question: What is the N(E_F) in the first record?
Answer: 0.00 states/eV per atom